Entry 1:
Density functional theory data (PBE) for a relaxed Ba2ScRu2 crystal.

CIF file:
```
data_Ba2ScRu2
_space_group_name_H-M_alt 'P 4/m b m'
_space_group_IT_number 127
_space_group_name_Hall '-P 4 2ab'
_cell_length_a 9.027
_cell_length_b 9.027
_cell_length_c 3.246
_cell_angle_alpha 90.00
_cell_angle_beta 90.00
_cell_angle_gamma 90.00
loop_
_atom_site_label
_atom_site_fract_x
_atom_site_fract_y
_atom_site_fract_z
_atom_site_occupancy
Ba1 0.131 0.369 0.000 1
Sc1 0.000 0.000 0.000 1
Ru1 0.179 0.679 0.500 1
```

Output
Its energy of formation from the pure elements is 940.9 meV per atom. The volume comes out at 26.4 Å³ per atom. For the total magnetization, the calculation gives 0.211 μB/atom.

Entry 2:
Density functional theory data (PBE) for a relaxed Cs2MgNiBr6 crystal.

CIF file:
```
data_Cs2MgNiBr6
_space_group_name_H-M_alt 'F m -3 m'
_space_group_IT_number 225
_space_group_name_Hall '-F 4 2 3'
_cell_length_a 10.708
_cell_length_b 10.708
_cell_length_c 10.708
_cell_angle_alpha 90.00
_cell_angle_beta 90.00
_cell_angle_gamma 90.00
loop_
_atom_site_label
_atom_site_fract_x
_atom_site_fract_y
_atom_site_fract_z
_atom_site_occupancy
Cs1 0.250 0.250 0.250 1
Mg1 0.000 0.000 0.000 1
Ni1 0.000 0.000 0.500 1
Br1 0.000 0.000 0.256 1
```

Output
The volume comes out at 30.7 Å³ per atom. The value obtained for the energy relative to the elements, uncorrected is -27.67 kcal/mol of atoms. For the total magnetization, the calculation gives 0.200 μB/atom.

Entry 3:
Density functional theory data (PBE) for a relaxed NdPu2Ir2 crystal.

CIF file:
```
data_NdPu2Ir2
_space_group_name_H-M_alt 'P -1'
_space_group_IT_number 2
_space_group_name_Hall '-P 1'
_cell_length_a 6.042
_cell_length_b 6.947
_cell_length_c 7.584
_cell_angle_alpha 65.99
_cell_angle_beta 66.64
_cell_angle_gamma 64.25
loop_
_atom_site_label
_atom_site_fract_x
_atom_site_fract_y
_atom_site_fract_z
_atom_site_occupancy
Nd1 0.133 0.250 0.251 1
Pu1 0.190 0.120 0.777 1
Pu2 0.414 0.622 0.275 1
Ir1 0.246 0.670 0.967 1
Ir2 0.385 0.829 0.534 1
```

Output
Its energy of formation from the pure elements is -378.6 meV per atom. The volume comes out at 25.2 Å³ per atom. For the total magnetization, the calculation gives 2.087 μB/atom.

Entry 4:
Density functional theory data (PBE) for a relaxed CeY5 crystal.

CIF file:
```
data_CeY5
_space_group_name_H-M_alt 'C 1 2/m 1'
_space_group_IT_number 12
_space_group_name_Hall '-C 2y'
_cell_length_a 15.528
_cell_length_b 3.569
_cell_length_c 7.126
_cell_angle_alpha 90.00
_cell_angle_beta 103.27
_cell_angle_gamma 90.00
loop_
_atom_site_label
_atom_site_fract_x
_atom_site_fract_y
_atom_site_fract_z
_atom_site_occupancy
Ce1 0.000 0.000 0.000 1
Y1 0.000 0.000 0.500 1
Y2 0.164 0.500 0.835 1
Y3 0.166 0.500 0.330 1
```

Output
Its energy of formation from the pure elements is 51.0 meV per atom. The volume comes out at 32.0 Å³ per atom. For the total magnetization, the calculation gives 0.128 μB/atom.

Entry 5:
Density functional theory data (PBE) for a relaxed CaCdC crystal.

CIF file:
```
data_CaCdC
_space_group_name_H-M_alt 'P 1'
_space_group_IT_number 1
_space_group_name_Hall 'P 1'
_cell_length_a 3.771
_cell_length_b 4.230
_cell_length_c 9.680
_cell_angle_alpha 88.05
_cell_angle_beta 78.84
_cell_angle_gamma 64.11
loop_
_atom_site_label
_atom_site_fract_x
_atom_site_fract_y
_atom_site_fract_z
_atom_site_occupancy
Ca1 0.000 0.000 0.000 1
Ca2 0.099 0.487 0.310 1
Cd1 0.633 0.156 0.565 1
Cd2 0.834 0.573 0.749 1
C1 0.457 0.890 0.193 1
C2 0.642 0.597 0.117 1
```

Output
Its energy of formation from the pure elements is -47.7 meV per atom. The volume comes out at 22.7 Å³ per atom. For the total magnetization, the calculation gives 0.000 μB/atom.

Entry 6:
Density functional theory data (PBE) for a relaxed Rb2ReSnBr crystal.

CIF file:
```
data_Rb2ReSnBr
_space_group_name_H-M_alt 'P 4/m m m'
_space_group_IT_number 123
_space_group_name_Hall '-P 4 2'
_cell_length_a 6.999
_cell_length_b 6.999
_cell_length_c 5.150
_cell_angle_alpha 90.00
_cell_angle_beta 90.00
_cell_angle_gamma 90.00
loop_
_atom_site_label
_atom_site_fract_x
_atom_site_fract_y
_atom_site_fract_z
_atom_site_occupancy
Rb1 0.000 0.500 0.000 1
Re1 0.000 0.000 0.500 1
Sn1 0.000 0.000 0.000 1
Br1 0.500 0.500 0.500 1
```

Output
The volume comes out at 50.5 Å³ per atom. The value obtained for the energy relative to the elements, uncorrected is 10.98 kcal/mol of atoms. For the total magnetization, the calculation gives 0.679 μB/atom.

> Among the records above, which one has the lowest volume?

CaCdC

> Among the records above, which one has the highest total magnetization?

NdPu2Ir2

> What is the formula in the second record?

Cs2MgNiBr6

> What is the formula in the first record?

Ba2ScRu2